The following is a SCAN calculation of SrScNi2 at its PBEsol-relaxed geometry, from the Alexandria database.

## Properties
Energy relative to the lowest polymorph listed for this composition   0 meV/atom
Electronic total energy   -67.6 eV/cell
Total moment   0.00 μB per formula unit
Formation energy   0.315 eV/atom

Unit cell a=3.041 b=4.709 c=5.329 alpha=89.95 beta=90.00 gamma=90.00
Sites, in units of the cell vectors:
1 Sc 0.500 0.500 0.000
2 Ni 0.500 0.500 0.500
3 Ni 0.000 0.000 0.000
4 Sr 0.000 0.000 0.500